No. 1
Compound: AcIn15Pb4
Source: the Alexandria database
Functional: GGA-PBE
Structure: relaxed

## Properties
Fermi-level density of states (states/eV/f.u.): 7.05
DFT formation energy (eV/atom): -0.058
Calculated total energy (eV/atom): -3.06

abc: 5.039 5.039 22.664
angles: 90.00 90.00 90.00
Element x y z (fractional)
Ac: 0.000 0.000 0.000
In: 0.000 0.500 0.105
In: 0.000 0.500 0.302
In: 0.000 0.500 0.500
In: 0.000 0.500 0.698
In: 0.000 0.500 0.895
In: 0.500 0.000 0.105
In: 0.500 0.000 0.302
In: 0.500 0.000 0.500
In: 0.500 0.000 0.698
In: 0.500 0.000 0.895
In: 0.500 0.500 0.000
In: 0.500 0.500 0.206
In: 0.500 0.500 0.400
In: 0.500 0.500 0.600
In: 0.500 0.500 0.794
Pb: 0.000 0.000 0.196
Pb: 0.000 0.000 0.399
Pb: 0.000 0.000 0.601
Pb: 0.000 0.000 0.804

***

No. 2
Compound: CoTc2Ru
Source: the Alexandria database
Functional: GGA-PBE
Structure: relaxed

## Properties
Fermi-level density of states (states/eV/f.u.): 4.31
Energy above the lowest structure with this stoichiometry (eV/f.u.): 1.03
DFT formation energy (eV/atom): 0.221
Calculated total energy (eV/atom): -9.06

abc: 3.099 3.099 5.657
angles: 90.00 90.00 90.00
Element x y z (fractional)
Co: 0.000 0.000 0.000
Tc: 0.000 0.000 0.528
Tc: 0.500 0.500 0.806
Ru: 0.500 0.500 0.252

***

No. 3
Compound: Mg3ZnPd6
Source: the Alexandria database
Functional: GGA-PBE
Structure: relaxed

## Properties
Fermi-level density of states (states/eV/f.u.): 3.24
Energy above the lowest structure with this stoichiometry (eV/f.u.): 0.00
DFT formation energy (eV/atom): -0.611
Calculated total energy (eV/atom): -4.33

abc: 7.608 4.515 9.543
angles: 90.00 108.27 90.00
Element x y z (fractional)
Mg: 0.040 0.250 0.390
Mg: 0.142 0.750 0.209
Mg: 0.275 0.250 0.991
Mg: 0.725 0.750 0.009
Mg: 0.858 0.250 0.791
Mg: 0.960 0.750 0.610
Zn: 0.451 0.250 0.594
Zn: 0.549 0.750 0.406
Pd: 0.041 0.750 0.912
Pd: 0.158 0.250 0.687
Pd: 0.257 0.750 0.505
Pd: 0.348 0.750 0.815
Pd: 0.353 0.250 0.304
Pd: 0.436 0.750 0.123
Pd: 0.564 0.250 0.877
Pd: 0.647 0.750 0.696
Pd: 0.652 0.250 0.185
Pd: 0.743 0.250 0.495
Pd: 0.842 0.750 0.313
Pd: 0.959 0.250 0.088

***

No. 4
Compound: PrErTm3
Source: the Alexandria database
Functional: GGA-PBE
Structure: relaxed

## Properties
Fermi-level density of states (states/eV/f.u.): 7.87
Energy above the lowest structure with this stoichiometry (eV/f.u.): 1.42
DFT formation energy (eV/atom): 0.293
Calculated total energy (eV/atom): -4.26

abc: 3.573 11.394 8.649
angles: 90.00 101.81 90.00
Element x y z (fractional)
Pr: 0.009 0.250 0.035
Pr: 0.991 0.750 0.965
Er: 0.309 0.750 0.614
Er: 0.691 0.250 0.386
Tm: 0.162 0.000 0.323
Tm: 0.162 0.500 0.323
Tm: 0.348 0.250 0.702
Tm: 0.652 0.750 0.298
Tm: 0.838 0.000 0.677
Tm: 0.838 0.500 0.677

***

No. 5
Compound: PmP2Pd6
Source: the Alexandria database
Functional: GGA-PBE
Structure: relaxed

## Properties
Fermi-level density of states (states/eV/f.u.): 2.68
Energy above the lowest structure with this stoichiometry (eV/f.u.): 0.92
DFT formation energy (eV/atom): -0.526
Calculated total energy (eV/atom): -5.72

abc: 5.738 5.738 6.067
angles: 90.00 90.00 120.00
Element x y z (fractional)
Pm: 0.000 0.000 0.000
P: 0.333 0.667 0.500
P: 0.667 0.333 0.500
Pd: 0.000 0.500 0.230
Pd: 0.000 0.500 0.770
Pd: 0.500 0.000 0.230
Pd: 0.500 0.000 0.770
Pd: 0.500 0.500 0.230
Pd: 0.500 0.500 0.770

***

No. 6
Compound: Rb2CaHgCl6
Source: the Alexandria database
Functional: GGA-PBE
Structure: relaxed

## Properties
Raw formation energy (eV/atom): -1.686
Fermi-level density of states (states/eV/f.u.): 0.00
Energy above the lowest structure with this stoichiometry (eV/f.u.): 0.00
Calculated total energy (eV/atom): -3.22

abc: 7.482 7.650 12.996
angles: 90.00 124.94 90.00
Element x y z (fractional)
Rb: 0.235 0.053 0.249
Rb: 0.235 0.447 0.749
Rb: 0.765 0.553 0.251
Rb: 0.765 0.947 0.751
Ca: 0.500 0.000 0.000
Ca: 0.500 0.500 0.500
Hg: 0.000 0.000 0.500
Hg: 0.000 0.500 0.000
Cl: 0.169 0.209 0.962
Cl: 0.169 0.291 0.462
Cl: 0.254 0.708 0.963
Cl: 0.254 0.792 0.463
Cl: 0.320 0.013 0.747
Cl: 0.320 0.487 0.247
Cl: 0.680 0.513 0.753
Cl: 0.680 0.987 0.253
Cl: 0.746 0.208 0.537
Cl: 0.746 0.292 0.037
Cl: 0.831 0.709 0.538
Cl: 0.831 0.791 0.038

***

No. 7
Compound: Si2HgRh
Source: the Alexandria database
Functional: GGA-PBE
Structure: relaxed

## Properties
Raw formation energy (eV/atom): 0.019
Fermi-level density of states (states/eV/f.u.): 2.01
Calculated total energy (eV/atom): -4.61

abc: 2.956 2.956 7.946
angles: 90.00 90.00 90.00
Element x y z (fractional)
Si: 0.000 0.000 0.190
Si: 0.000 0.000 0.810
Hg: 0.500 0.500 0.500
Rh: 0.500 0.500 0.000

***

No. 8
Compound: MgFeBr
Source: the Alexandria database
Functional: GGA-PBE
Structure: relaxed

## Properties
Raw formation energy (eV/atom): 0.364
Fermi-level density of states (states/eV/f.u.): 3.92
Energy above the lowest structure with this stoichiometry (eV/f.u.): 0.88
Calculated total energy (eV/atom): -3.55

abc: 4.421 4.421 3.279
angles: 90.00 90.00 120.00
Element x y z (fractional)
Mg: 0.000 0.000 0.000
Fe: 0.667 0.333 0.500
Br: 0.333 0.667 0.500